## La8CoBr4N3 (GGA-PBE)

Data for a geometry-optimized La8CoBr4N3 structure.

Output
The energy relative to the elements, uncorrected comes out at -1.2598 eV per atom.

Cell: 7.7396 7.7396 8.8251 Å, 116.03 116.03 59.70°
Element x y z (fractional)
La  0.2102  0.7375  0.6844
La  0.2281  0.2281  0.6842
La  0.2606  0.2606  0.3151
La  0.2625  0.7898  0.3156
La  0.7375  0.2102  0.6844
La  0.7394  0.7394  0.6849
La  0.7719  0.7719  0.3158
La  0.7898  0.2625  0.3156
Co  0.5000  0.5000  0.5000
Br  0.0000  0.0000  0.0000
Br  0.0000  0.5000  0.0000
Br  0.5000  0.0000  0.0000
Br  0.5000  0.5000  0.0000
N  0.0000  0.0000  0.5000
N  0.0000  0.5000  0.5000
N  0.5000  0.0000  0.5000